VASP calculation (PBE) on crystalline TaAgBi at its relaxed geometry.

abc: 6.6761 6.6761 6.6761
angles: 90.00 90.00 90.00
Space group F-43m (No. 216)
Inequivalent atoms, fractional coordinates:
Ta (0.0000, 0.0000, 0.0000) [4 per cell]
Ag (0.2500, 0.2500, 0.7500) [4 per cell]
Bi (0.2500, 0.2500, 0.2500) [4 per cell]

Properties
Raw total energy: -5.4599 eV/atom


VASP calculation (PBE) on crystalline ZrO3 at its relaxed geometry.

abc: 5.4466 6.0427 6.2401
angles: 88.81 86.95 69.03
Space group P1 (No. 1)
Inequivalent atoms, fractional coordinates:
Zr (0.0000, 0.0000, 0.0000) [1 per cell]
Zr (0.0362, 0.5440, 0.6936) [1 per cell]
Zr (0.3811, 0.0076, 0.4900) [1 per cell]
Zr (0.7317, 0.5248, 0.1996) [1 per cell]
O (0.1267, 0.2281, 0.2349) [1 per cell]
O (0.1573, 0.8525, 0.6985) [1 per cell]
O (0.3067, 0.7409, 0.2829) [1 per cell]
O (0.4013, 0.7813, 0.0601) [1 per cell]
O (0.4065, 0.2240, 0.7483) [1 per cell]
O (0.4123, 0.3547, 0.5424) [1 per cell]
O (0.6212, 0.2250, 0.1393) [1 per cell]
O (0.7034, 0.0200, 0.2830) [1 per cell]
O (0.7273, 0.7008, 0.5033) [1 per cell]
O (0.8747, 0.3341, 0.8665) [1 per cell]
O (0.9214, 0.6936, 0.9967) [1 per cell]
O (0.9758, 0.2596, 0.4490) [1 per cell]

Properties
Energy above the most stable polymorph in this dataset: 0.007 eV/atom


VASP calculation (PBE) on crystalline HfAu4 at its relaxed geometry.

abc: 5.0546 4.8843 14.4301
angles: 90.00 90.00 90.00
Space group Pnma (No. 62)
Inequivalent atoms, fractional coordinates:
Hf (0.1598, 0.2500, 0.0987) [4 per cell]
Au (0.1573, 0.2500, 0.9002) [4 per cell]
Au (0.1627, 0.2500, 0.2986) [4 per cell]
Au (0.1625, 0.2500, 0.4989) [4 per cell]
Au (0.1732, 0.2500, 0.6958) [4 per cell]

Properties
Energy relative to the elements: -0.408 eV/atom